A plane-wave DFT calculation with PBE was carried out for an optimized crystal structure of Ce6PuAl.

Calculated values
- distance to the lowest polymorph of the same formula (eV/atom) = 0.029
- N(E_F) (states/eV/atom) = 1.998
- formation enthalpy at 0 K (eV per atom) = -0.071
- ρ (g cm⁻³) = 8.35

abc: 7.9776 9.3118 6.1283
angles: 90.00 103.87 90.00
Last column: nearest neighbours and their distance in Å.
Sites, in units of the cell vectors:
Ce (0.0926, 0.1886, 0.2817)  1 Pu 2.45
Ce (0.0926, 0.8114, 0.2817)  1 Pu 2.45
Ce (0.2188, 0.5000, 0.0949)  1 Pu 2.45
Ce (0.2812, 0.0000, 0.9051)  1 Pu 2.45
Ce (0.4074, 0.3114, 0.7183)  1 Pu 2.45
Ce (0.4074, 0.6886, 0.7183)  1 Pu 2.45
Ce (0.5926, 0.3114, 0.2817)  1 Pu 2.45
Ce (0.5926, 0.6886, 0.2817)  1 Pu 2.45
Ce (0.7188, 0.0000, 0.0949)  1 Pu 2.45
Ce (0.7812, 0.5000, 0.9051)  1 Pu 2.45
Ce (0.9074, 0.1886, 0.7183)  1 Pu 2.45
Ce (0.9074, 0.8114, 0.7183)  1 Pu 2.45
Pu (0.0000, 0.0000, 0.0000)  6 Ce 2.45
Pu (0.5000, 0.5000, 0.0000)  6 Ce 2.45
Al (0.0000, 0.5000, 0.5000)  12 Ce 3.35-3.65
Al (0.5000, 0.0000, 0.5000)  12 Ce 3.35-3.65

A plane-wave DFT calculation with PBE was carried out for an optimized crystal structure of Ce2PuAl2.

Calculated values
- N(E_F) (states/eV/atom) = 2.055
- formation enthalpy at 0 K (eV per atom) = -0.195
- ρ (g cm⁻³) = 8.28

abc: 10.6125 4.0764 6.9974
angles: 90.00 129.99 90.00
Last column: nearest neighbours and their distance in Å.
Sites, in units of the cell vectors:
Ce (0.0800, 0.0000, 0.3720)  2 Pu 2.97, 1 Ce 3.16, 6 Al 3.20-3.28
Ce (0.4200, 0.5000, 0.6280)  2 Pu 2.97, 1 Ce 3.16, 6 Al 3.20-3.28
Ce (0.5800, 0.5000, 0.3720)  2 Pu 2.97, 1 Ce 3.16, 6 Al 3.20-3.28
Ce (0.9200, 0.0000, 0.6280)  2 Pu 2.97, 1 Ce 3.16, 6 Al 3.20-3.28
Pu (0.0000, 0.5000, 0.0000)  4 Ce 2.97, 6 Al 3.16-3.18
Pu (0.5000, 0.0000, 0.0000)  4 Ce 2.97, 6 Al 3.16-3.18
Al (0.2196, 0.5000, 0.8382)  2 Al 2.80
Al (0.2804, 0.0000, 0.1618)  2 Al 2.80
Al (0.7196, 0.0000, 0.8382)  2 Al 2.80
Al (0.7804, 0.5000, 0.1618)  2 Al 2.80

A plane-wave DFT calculation with PBE was carried out for an optimized crystal structure of Ce2PuAl.

Calculated values
- distance to the lowest polymorph of the same formula (eV/atom) = 0.044
- N(E_F) (states/eV/atom) = 2.226
- formation enthalpy at 0 K (eV per atom) = -0.112
- ρ (g cm⁻³) = 9.19

abc: 7.3571 7.3571 7.3571
angles: 90.00 90.00 90.00
Last column: nearest neighbours and their distance in Å.
Sites, in units of the cell vectors:
Ce (0.2500, 0.2500, 0.2500)  4 Al 3.19, 4 Pu 3.19
Ce (0.2500, 0.2500, 0.7500)  4 Al 3.19, 4 Pu 3.19
Ce (0.2500, 0.7500, 0.2500)  4 Pu 3.19, 4 Al 3.19
Ce (0.2500, 0.7500, 0.7500)  4 Al 3.19, 4 Pu 3.19
Ce (0.7500, 0.2500, 0.2500)  4 Pu 3.19, 4 Al 3.19
Ce (0.7500, 0.2500, 0.7500)  4 Al 3.19, 4 Pu 3.19
Ce (0.7500, 0.7500, 0.2500)  4 Al 3.19, 4 Pu 3.19
Ce (0.7500, 0.7500, 0.7500)  4 Pu 3.19, 4 Al 3.19
Pu (0.0000, 0.0000, 0.0000)  8 Ce 3.19
Pu (0.0000, 0.5000, 0.5000)  8 Ce 3.19
Pu (0.5000, 0.0000, 0.5000)  8 Ce 3.19
Pu (0.5000, 0.5000, 0.0000)  8 Ce 3.19
Al (0.0000, 0.0000, 0.5000)  8 Ce 3.19
Al (0.0000, 0.5000, 0.0000)  8 Ce 3.19
Al (0.5000, 0.0000, 0.0000)  8 Ce 3.19
Al (0.5000, 0.5000, 0.5000)  8 Ce 3.19

A plane-wave DFT calculation with PBE was carried out for an optimized crystal structure of Ce4PuAl2.

Calculated values
- distance to the lowest polymorph of the same formula (eV/atom) = 0.020
- N(E_F) (states/eV/atom) = 2.190
- formation enthalpy at 0 K (eV per atom) = -0.079
- ρ (g cm⁻³) = 7.80

abc: 7.7642 9.6499 4.8790
angles: 90.00 90.00 90.00
Last column: nearest neighbours and their distance in Å.
Sites, in units of the cell vectors:
Ce (0.1848, 0.0000, 0.0000)  1 Ce 2.87, 4 Al 3.15-3.19
Ce (0.2500, 0.2500, 0.5000)  2 Pu 3.10, 4 Al 3.15
Ce (0.2500, 0.7500, 0.5000)  2 Pu 3.10, 4 Al 3.15
Ce (0.3152, 0.5000, 0.0000)  1 Ce 2.87, 4 Al 3.15-3.19
Ce (0.6848, 0.5000, 0.0000)  1 Ce 2.87, 4 Al 3.15-3.19
Ce (0.7500, 0.2500, 0.5000)  2 Pu 3.10, 4 Al 3.15
Ce (0.7500, 0.7500, 0.5000)  2 Pu 3.10, 4 Al 3.15
Ce (0.8152, 0.0000, 0.0000)  1 Ce 2.87, 4 Al 3.15-3.19
Pu (0.0000, 0.5000, 0.5000)  8 Ce 3.10-3.46, 4 Al 3.14
Pu (0.5000, 0.0000, 0.5000)  8 Ce 3.10-3.46, 4 Al 3.14
Al (0.0000, 0.2948, 0.0000)  2 Pu 3.14, 8 Ce 3.15-3.19
Al (0.0000, 0.7052, 0.0000)  2 Pu 3.14, 8 Ce 3.15-3.19
Al (0.5000, 0.2052, 0.0000)  2 Pu 3.14, 8 Ce 3.15-3.19
Al (0.5000, 0.7948, 0.0000)  2 Pu 3.14, 8 Ce 3.15-3.19

A plane-wave DFT calculation with PBE was carried out for an optimized crystal structure of CePu2Al2.

Calculated values
- N(E_F) (states/eV/atom) = 2.328
- formation enthalpy at 0 K (eV per atom) = -0.151
- ρ (g cm⁻³) = 9.64

abc: 4.9142 6.3756 7.4989
angles: 90.00 90.00 90.00
Last column: nearest neighbours and their distance in Å.
Sites, in units of the cell vectors:
Ce (0.0000, 0.0000, 0.0000)  4 Pu 3.02
Ce (0.5000, 0.5000, 0.5000)  4 Pu 3.02
Pu (0.0000, 0.2257, 0.5000)  1 Pu 2.88, 6 Al 3.01-3.13, 2 Ce 3.02
Pu (0.0000, 0.7743, 0.5000)  1 Pu 2.88, 6 Al 3.01-3.13, 2 Ce 3.02
Pu (0.5000, 0.2743, 0.0000)  1 Pu 2.88, 6 Al 3.01-3.13, 2 Ce 3.02
Pu (0.5000, 0.7257, 0.0000)  1 Pu 2.88, 6 Al 3.01-3.13, 2 Ce 3.02
Al (0.0000, 0.5000, 0.1738)  1 Al 2.61
Al (0.0000, 0.5000, 0.8262)  1 Al 2.61
Al (0.5000, 0.0000, 0.3262)  1 Al 2.61
Al (0.5000, 0.0000, 0.6738)  1 Al 2.61

A plane-wave DFT calculation with PBE was carried out for an optimized crystal structure of Ce3PuAl8.

Calculated values
- distance to the lowest polymorph of the same formula (eV/atom) = 0.007
- N(E_F) (states/eV/atom) = 1.367
- formation enthalpy at 0 K (eV per atom) = -0.442
- ρ (g cm⁻³) = 5.96

abc: 5.6792 5.6792 8.7863
angles: 90.00 90.00 120.00
Last column: nearest neighbours and their distance in Å.
Sites, in units of the cell vectors:
Ce (0.0000, 0.0000, 0.0000)  1 Ce 2.95, 6 Al 3.20
Ce (0.0000, 0.0000, 0.3354)  1 Ce 2.95, 9 Al 3.20-3.29
Ce (0.3333, 0.6667, 0.8231)  1 Pu 2.82
Pu (0.3333, 0.6667, 0.5021)  1 Ce 2.82
Al (0.0134, 0.5067, 0.1668)  6 Al 2.73-2.95
Al (0.3206, 0.1603, 0.6640)  6 Al 2.73-2.95
Al (0.4933, 0.5067, 0.1668)  6 Al 2.73-2.95
Al (0.4933, 0.9866, 0.1668)  6 Al 2.73-2.95
Al (0.6667, 0.3333, 0.4170)  6 Al 2.76-2.78
Al (0.6667, 0.3333, 0.9149)  6 Al 2.79
Al (0.8397, 0.1603, 0.6640)  6 Al 2.73-2.95
Al (0.8397, 0.6794, 0.6640)  6 Al 2.73-2.95

> Which of these has the highest ρ?

CePu2Al2

> Which value of N(E_F) does entry 6 give?

1.367 states/eV/atom

> Which formula does entry 6 have?

Ce3PuAl8

> Number 4 is which compound?

Ce4PuAl2